Below is a relaxed Sm2CuRu crystal, with properties calculated at the GGA-PBEsol level.

Cell and atoms, written as extended XYZ:
```
4
Lattice="0.0000 3.4433 3.4433 3.4433 0.0000 3.4433 3.4433 3.4433 0.0000" Properties=species:S:1:pos:R:3 pbc="T T T"
Sm 1.7216 1.7216 1.7216
Sm 5.1649 5.1649 5.1649
Cu 0.0000 0.0000 0.0000
Ru 3.4433 3.4433 3.4433
```

Summary:
Theoretical density (g/cm3): 9.46
SG: Fm-3m
ΔE_f (eV/atom): -0.18
Total magnetic moment (μB/cell): 0.0